one:
Here is BeBiSbMo after structural relaxation from OQMD. Energies are from PBE.

- theoretical density (Mg/m³) = 8.8
- symmetry = F-43m

Lattice parameters (Å, degrees): 4.875 4.875 4.875 60.00 60.00 60.00
Fractional coordinates of all 4 atoms:
1 Be 0.000 0.000 0.000
2 Bi 0.250 0.250 0.250
3 Sb 0.500 0.500 0.500
4 Mo 0.750 0.750 0.750


two:
Here is BeBiSbMo after structural relaxation from OQMD. Energies are from PBE.

- theoretical density (Mg/m³) = 9.3
- symmetry = F-43m

Lattice parameters (Å, degrees): 4.799 4.799 4.799 60.00 60.00 60.00
Fractional coordinates of all 4 atoms:
1 Be 0.000 0.000 0.000
2 Bi 0.750 0.750 0.750
3 Sb 0.250 0.250 0.250
4 Mo 0.500 0.500 0.500


The structure with the greatest stability is two.


one:
Here is NaBeNiBi after structural relaxation from OQMD. Energies are from PBE.

- theoretical density (Mg/m³) = 7.3
- symmetry = F-43m

Lattice parameters (Å, degrees): 4.584 4.584 4.584 60.00 60.00 60.00
Fractional coordinates of all 4 atoms:
1 Na 0.000 0.000 0.000
2 Be 0.250 0.250 0.250
3 Ni 0.500 0.500 0.500
4 Bi 0.750 0.750 0.750


two:
Here is NaBeNiBi after structural relaxation from OQMD. Energies are from PBE.

- theoretical density (Mg/m³) = 7.2
- symmetry = F-43m

Lattice parameters (Å, degrees): 4.613 4.613 4.613 60.00 60.00 60.00
Fractional coordinates of all 4 atoms:
1 Na 0.000 0.000 0.000
2 Be 0.250 0.250 0.250
3 Ni 0.750 0.750 0.750
4 Bi 0.500 0.500 0.500


The structure with the greatest stability is one.


one:
Here is BeNbBi after structural relaxation from OQMD. Energies are from PBE.

- theoretical density (Mg/m³) = 7.6
- symmetry = F-43m

Lattice parameters (Å, degrees): 4.574 4.574 4.574 60.00 60.00 60.00
Fractional coordinates of all 3 atoms:
1 Be 0.000 0.000 0.000
2 Nb 0.750 0.750 0.750
3 Bi 0.500 0.500 0.500


two:
Here is BeNbBi after structural relaxation from OQMD. Energies are from PBE.

- theoretical density (Mg/m³) = 8.8
- symmetry = F-43m

Lattice parameters (Å, degrees): 4.354 4.354 4.354 60.00 60.00 60.00
Fractional coordinates of all 3 atoms:
1 Be 0.000 0.000 0.000
2 Nb 0.250 0.250 0.250
3 Bi 0.750 0.750 0.750


The structure with the greatest stability is two.


one:
Here is TaBeNiBi after structural relaxation from OQMD. Energies are from PBE.

- theoretical density (Mg/m³) = 11.4
- symmetry = F-43m

Lattice parameters (Å, degrees): 4.554 4.554 4.554 60.00 60.00 60.00
Fractional coordinates of all 4 atoms:
1 Ta 0.000 0.000 0.000
2 Be 0.750 0.750 0.750
3 Ni 0.500 0.500 0.500
4 Bi 0.250 0.250 0.250


two:
Here is TaBeNiBi after structural relaxation from OQMD. Energies are from PBE.

- theoretical density (Mg/m³) = 11.6
- symmetry = F-43m

Lattice parameters (Å, degrees): 4.531 4.531 4.531 60.00 60.00 60.00
Fractional coordinates of all 4 atoms:
1 Ta 0.000 0.000 0.000
2 Be 0.250 0.250 0.250
3 Ni 0.750 0.750 0.750
4 Bi 0.500 0.500 0.500


The structure with the greatest stability is two.